Record 1
Compound: SrLaNi3
Source: Alexandria
Functional: PBE
Structure: relaxed

Its crystal system is cubic. Its formation energy is 2.94 eV/f.u. The total energy comes out at -4.20 eV/atom. For the volume, the calculation gives 25.20 A^3/atom. The density of states at the Fermi level is 1.389 states/eV/atom.

The space group is Pm-3m (No. 221) and the conventional cell measures 5.0133, 5.0133 and 5.0133 Å, with angles of 90.00, 90.00 and 90.00 degrees. The asymmetric unit holds Sr at (0.0000, 0.0000, 0.0000), La at (0.5000, 0.5000, 0.5000) and Ni at (0.0000, 0.5000, 0.5000).

Record 2
Compound: SrLaNi
Source: Alexandria
Functional: PBE
Structure: relaxed

Its crystal system is cubic. Its formation energy is 0.17 eV/f.u. The total energy comes out at -4.07 eV/atom. For the volume, the calculation gives 30.48 A^3/atom. The density of states at the Fermi level is 1.361 states/eV/atom.

The space group is F-43m (No. 216) and the conventional cell measures 7.1517, 7.1517 and 7.1517 Å, with angles of 90.00, 90.00 and 90.00 degrees. The asymmetric unit holds Sr at (0.0000, 0.0000, 0.0000), La at (0.0000, 0.0000, 0.5000) and Ni at (0.2500, 0.2500, 0.7500).

Record 3
Compound: Sr2La2Ni
Source: Alexandria
Functional: PBE
Structure: relaxed

Its crystal system is tetragonal. Its formation energy is 0.56 eV/f.u. The total energy comes out at -3.69 eV/atom. For the volume, the calculation gives 36.98 A^3/atom. The density of states at the Fermi level is 1.017 states/eV/atom.

The space group is P4/mbm (No. 127) and the conventional cell measures 7.4954, 7.4954 and 6.5820 Å, with angles of 90.00, 90.00 and 90.00 degrees. The asymmetric unit holds Sr at (0.1761, 0.3239, 0.0000), La at (0.1661, 0.6661, 0.5000) and Ni at (0.0000, 0.0000, 0.5000).

Record 4
Compound: Sr2LaNi
Source: Alexandria
Functional: PBE
Structure: relaxed

Its crystal system is trigonal. Its formation energy is 0.79 eV/f.u. The total energy comes out at -3.32 eV/atom. For the volume, the calculation gives 36.66 A^3/atom. The density of states at the Fermi level is 1.204 states/eV/atom.

The space group is R-3m (No. 166, hexagonal axes) and the conventional cell measures 4.0085, 4.0085 and 31.6154 Å, with angles of 90.00, 90.00 and 120.00 degrees. The asymmetric unit holds Sr at (0.0000, 0.0000, 0.2232), La at (0.0000, 0.0000, 0.0000) and Ni at (0.0000, 0.0000, 0.5000).

Record 5
Compound: Sr2LaNi9
Source: Alexandria
Functional: PBE
Structure: relaxed

Its crystal system is trigonal. Its formation energy is -1.52 eV/f.u. The total energy comes out at -5.15 eV/atom. For the volume, the calculation gives 15.70 A^3/atom. The density of states at the Fermi level is 0.956 states/eV/atom.

The space group is R-3m (No. 166, hexagonal axes) and the conventional cell measures 5.1125, 5.1125 and 24.9663 Å, with angles of 90.00, 90.00 and 120.00 degrees. The asymmetric unit holds Sr at (0.0000, 0.0000, 0.1410), La at (0.0000, 0.0000, 0.0000), Ni at (0.0000, 0.0000, 0.3320), Ni at (0.0000, 0.0000, 0.5000) and Ni at (0.0048, 0.5024, 0.0785).

Record 6
Compound: Sr2LaNi
Source: Alexandria
Functional: PBE
Structure: relaxed

Its crystal system is orthorhombic. Its formation energy is 0.03 eV/f.u. The total energy comes out at -3.51 eV/atom. For the volume, the calculation gives 37.05 A^3/atom. The density of states at the Fermi level is 0.776 states/eV/atom.

The space group is Immm (No. 71) and the conventional cell measures 3.7150, 4.2833 and 18.6263 Å, with angles of 90.00, 90.00 and 90.00 degrees. The asymmetric unit holds Sr at (0.0000, 0.0000, 0.1616), La at (0.0000, 0.5000, 0.0000) and Ni at (0.0000, 0.5000, 0.5000).

Record 7
Compound: Sr2LaNi
Source: Alexandria
Functional: PBE
Structure: relaxed

Its crystal system is monoclinic. Its formation energy is 0.08 eV/f.u. The total energy comes out at -3.50 eV/atom. For the volume, the calculation gives 35.64 A^3/atom. The density of states at the Fermi level is 1.165 states/eV/atom.

The space group is Cm (No. 8) and the conventional cell measures 13.4456, 3.8501 and 6.2066 Å, with angles of 90.00, 117.46 and 90.00 degrees. The asymmetric unit holds Sr at (0.0000, 0.0000, 0.0000), Sr at (0.1803, 0.0000, 0.6808), La at (0.3260, 0.5000, 0.3271) and Ni at (0.4771, 0.0000, 0.4841).

Record 8
Compound: Sr2LaNi
Source: Alexandria
Functional: PBE
Structure: relaxed

Its crystal system is cubic. Its formation energy is 1.66 eV/f.u. The total energy comes out at -3.10 eV/atom. For the volume, the calculation gives 31.63 A^3/atom. The density of states at the Fermi level is 1.372 states/eV/atom.

The space group is F-43m (No. 216) and the conventional cell measures 7.9694, 7.9694 and 7.9694 Å, with angles of 90.00, 90.00 and 90.00 degrees. The asymmetric unit holds Sr at (0.0000, 0.0000, 0.0000), Sr at (0.2500, 0.2500, 0.2500), La at (0.0000, 0.0000, 0.5000) and Ni at (0.2500, 0.2500, 0.7500).

Question: Which of these has the highest formation energy?
Answer: SrLaNi3